[1]
First-principles (PBE) data for an optimized crystal structure of Na2SbPdBr, as listed in Alexandria.

The structure in POSCAR format:
```
Na2SbPdBr
1.0
5.761 0.000 0.000
0.000 4.798 0.000
0.000 0.000 5.761
Sb Br Pd Na
1 1 1 2
Direct
0.500 0.500 0.500
0.000 0.500 0.000
0.000 0.000 0.000
0.000 0.000 0.500
0.500 0.000 0.000
```

Output
- ΔE_f (raw): -0.005 eV per atom
- Electronic total energy: -13.65 eV for the cell shown
- Total magnetization: 0.4000 μB per atom



[2]
First-principles (PBE) data for an optimized crystal structure of NaSiPdBr2, as listed in Alexandria.

The structure in POSCAR format:
```
NaSiPdBr2
1.0
-4.304 -1.321 2.557
-2.056 -1.739 -4.360
1.991 -4.688 0.930
Na Si Br Pd
1 1 2 1
Direct
0.000 0.000 0.000
0.500 0.500 0.500
0.000 0.000 0.500
0.500 0.000 0.000
0.000 0.500 0.000
```

Output
- ΔE_f (raw): 0.539 eV per atom
- Electronic total energy: -12.58 eV for the cell shown
- Total magnetization: 0.0000 μB per atom



[3]
First-principles (PBE) data for an optimized crystal structure of Na3Tl3PdBr8, as listed in Alexandria.

The structure in POSCAR format:
```
Na3Tl3PdBr8
1.0
8.458 0.000 0.000
-4.229 7.768 0.014
0.000 -5.103 7.600
Na Tl Pd Br
3 3 1 8
Direct
0.500 0.000 0.500
0.500 0.500 0.500
0.000 0.500 0.500
0.000 0.000 0.000
0.000 0.500 0.000
0.500 0.500 0.000
0.000 0.000 0.500
0.262 0.524 0.286
0.738 0.476 0.714
0.699 0.398 0.227
0.301 0.602 0.773
0.802 0.022 0.321
0.198 0.978 0.679
0.220 0.022 0.321
0.780 0.978 0.679
```

Output
- ΔE_f (raw): -0.996 eV per atom
- Electronic total energy: -44.57 eV for the cell shown
- Total magnetization: 0.0000 μB per atom



[4]
First-principles (PBE) data for an optimized crystal structure of Na2TlPdBr6, as listed in Alexandria.

The structure in POSCAR format:
```
Na2TlPdBr6
1.0
-5.067 -5.734 -0.483
1.763 -6.412 -2.857
0.607 -6.606 4.837
Na Tl Pd Br
2 1 1 6
Direct
0.527 0.513 0.430
0.995 0.032 0.967
0.822 0.815 0.541
0.329 0.328 0.016
0.563 0.204 0.260
0.241 0.968 0.224
0.979 0.552 0.234
0.403 0.691 0.785
0.684 0.124 0.788
0.118 0.435 0.769
```

Output
- ΔE_f (raw): -0.848 eV per atom
- Electronic total energy: -28.71 eV for the cell shown
- Total magnetization: 0.0000 μB per atom



[5]
First-principles (PBE) data for an optimized crystal structure of NaTl2PdBr6, as listed in Alexandria.

The structure in POSCAR format:
```
NaTl2PdBr6
1.0
7.275 0.000 -0.120
0.000 7.852 0.000
-0.108 0.000 11.128
Na Tl Pd Br
2 4 2 12
Direct
0.500 0.000 0.000
0.000 0.500 0.500
0.020 0.918 0.242
0.520 0.582 0.742
0.980 0.082 0.758
0.480 0.418 0.258
0.500 0.000 0.500
0.000 0.500 0.000
0.290 0.666 0.040
0.790 0.834 0.540
0.710 0.334 0.960
0.210 0.166 0.460
0.332 0.723 0.460
0.832 0.777 0.960
0.668 0.277 0.540
0.168 0.223 0.040
0.918 0.512 0.243
0.418 0.988 0.743
0.082 0.488 0.757
0.582 0.012 0.257
```

Output
- ΔE_f (raw): -0.715 eV per atom
- Electronic total energy: -56.86 eV for the cell shown
- Total magnetization: 0.1006 μB per atom



[6]
First-principles (PBE) data for an optimized crystal structure of NaTlPdBr6, as listed in Alexandria.

The structure in POSCAR format:
```
NaTlPdBr6
1.0
-3.783 4.449 3.896
-2.917 -3.161 -5.548
-3.836 -10.033 7.733
Na Tl Pd Br
2 2 2 12
Direct
0.000 0.000 0.000
0.000 0.000 0.500
0.667 0.333 0.250
0.333 0.667 0.750
0.333 0.667 0.250
0.667 0.333 0.750
0.633 0.649 0.132
0.016 0.367 0.132
0.367 0.016 0.632
0.984 0.633 0.868
0.351 0.367 0.368
0.016 0.649 0.368
0.649 0.016 0.868
0.633 0.984 0.368
0.984 0.351 0.632
0.351 0.984 0.132
0.649 0.633 0.632
0.367 0.351 0.868
```

Output
- ΔE_f (raw): -0.591 eV per atom
- Electronic total energy: -48.48 eV for the cell shown
- Total magnetization: 0.2227 μB per atom



[7]
First-principles (PBE) data for an optimized crystal structure of NaY2PdBr, as listed in Alexandria.

The structure in POSCAR format:
```
NaY2PdBr
1.0
5.631 0.000 0.000
0.000 4.649 0.000
0.000 0.000 5.631
Y Na Br Pd
2 1 1 1
Direct
0.000 0.000 0.500
0.500 0.000 0.000
0.000 0.000 0.000
0.500 0.500 0.500
0.000 0.500 0.000
```

Output
- ΔE_f (raw): 0.442 eV per atom
- Electronic total energy: -18.90 eV for the cell shown
- Total magnetization: 0.0000 μB per atom



[8]
First-principles (PBE) data for an optimized crystal structure of Na5Pm3Br12, as listed in Alexandria.

The structure in POSCAR format:
```
Na5Pm3Br12
1.0
-0.763 -7.944 -12.560
11.606 -4.615 8.091
-12.535 -1.844 7.805
Pm Na Br
12 20 48
Direct
0.750 0.375 0.125
0.875 0.750 0.125
0.375 0.750 0.625
0.250 0.125 0.375
0.875 0.125 0.250
0.375 0.625 0.250
0.625 0.375 0.750
0.125 0.875 0.750
0.750 0.875 0.625
0.625 0.250 0.375
0.125 0.250 0.875
0.250 0.625 0.875
0.125 0.375 0.250
0.000 0.500 0.000
0.000 0.000 0.000
0.375 0.250 0.125
0.500 0.000 0.500
0.500 0.500 0.000
0.125 0.750 0.375
0.750 0.125 0.875
0.750 0.625 0.375
0.375 0.125 0.750
0.625 0.875 0.250
0.500 0.500 0.500
0.500 0.000 0.000
0.000 0.000 0.500
0.250 0.375 0.625
0.250 0.875 0.125
0.000 0.500 0.500
0.875 0.250 0.625
0.625 0.750 0.875
0.875 0.625 0.750
0.725 0.133 0.050
0.326 0.550 0.417
0.950 0.367 0.275
0.550 0.225 0.133
0.591 0.725 0.674
0.950 0.583 0.174
0.326 0.775 0.409
0.083 0.909 0.133
0.583 0.950 0.674
0.725 0.591 0.174
0.775 0.450 0.367
0.826 0.917 0.050
0.133 0.725 0.550
0.367 0.417 0.091
0.091 0.917 0.367
0.409 0.133 0.583
0.091 0.174 0.225
0.450 0.674 0.083
0.826 0.909 0.275
0.133 0.409 0.083
0.367 0.950 0.775
0.583 0.633 0.409
0.917 0.826 0.550
0.775 0.326 0.909
0.417 0.367 0.591
0.083 0.174 0.450
0.225 0.674 0.091
0.174 0.091 0.725
0.633 0.050 0.225
0.867 0.591 0.917
0.550 0.326 0.917
0.591 0.867 0.417
0.909 0.826 0.775
0.909 0.083 0.633
0.867 0.275 0.450
0.174 0.083 0.950
0.633 0.583 0.909
0.417 0.050 0.326
0.275 0.409 0.826
0.225 0.550 0.633
0.917 0.091 0.867
0.674 0.225 0.591
0.450 0.775 0.867
0.050 0.417 0.826
0.409 0.275 0.326
0.050 0.633 0.725
0.674 0.450 0.583
0.275 0.867 0.950
```

Output
- ΔE_f (raw): -1.497 eV per atom
- Electronic total energy: -283.41 eV for the cell shown
- Total magnetization: 0.1017 μB per atom



[9]
First-principles (PBE) data for an optimized crystal structure of NaPmBr3, as listed in Alexandria.

The structure in POSCAR format:
```
NaPmBr3
1.0
-0.600 -6.846 0.148
7.919 -0.691 0.041
-3.992 0.496 6.858
Na Pm Br
2 2 6
Direct
0.750 0.667 0.333
0.250 0.333 0.667
0.000 0.000 0.000
0.500 0.000 0.000
0.750 0.653 0.826
0.250 0.826 0.653
0.250 0.347 0.174
0.750 0.174 0.347
0.250 0.826 0.174
0.750 0.174 0.826
```

Output
- ΔE_f (raw): -1.444 eV per atom
- Electronic total energy: -36.61 eV for the cell shown
- Total magnetization: 0.0128 μB per atom



[10]
First-principles (PBE) data for an optimized crystal structure of Na3PmBr6, as listed in Alexandria.

The structure in POSCAR format:
```
Na3PmBr6
1.0
-1.266 5.347 4.948
-4.395 -4.928 4.201
8.904 -3.003 5.792
Na Pm Br
6 2 12
Direct
0.524 0.924 0.770
0.500 0.500 0.000
0.476 0.076 0.230
0.024 0.576 0.270
0.000 0.000 0.500
0.976 0.424 0.730
0.500 0.500 0.500
0.000 0.000 0.000
0.678 0.182 0.938
0.673 0.193 0.588
0.645 0.425 0.260
0.355 0.575 0.740
0.327 0.807 0.412
0.322 0.818 0.062
0.178 0.318 0.438
0.173 0.307 0.088
0.145 0.075 0.760
0.855 0.925 0.240
0.827 0.693 0.912
0.822 0.682 0.562
```

Output
- ΔE to the lowest computed polymorph: 0.014 eV per atom
- ΔE_f (raw): -1.672 eV per atom
- Electronic total energy: -70.93 eV for the cell shown
- Total magnetization: 0.0000 μB per atom



[11]
First-principles (PBE) data for an optimized crystal structure of Na2PmBr5, as listed in Alexandria.

The structure in POSCAR format:
```
Na2PmBr5
1.0
-3.932 1.641 3.842
-2.900 -5.324 -4.978
4.272 -10.686 8.938
Na Pm Br
4 2 10
Direct
0.852 0.705 0.448
0.852 0.705 0.052
0.148 0.295 0.552
0.148 0.295 0.948
0.812 0.624 0.750
0.188 0.376 0.250
0.955 0.911 0.879
0.955 0.911 0.621
0.309 0.617 0.411
0.309 0.617 0.089
0.732 0.464 0.250
0.268 0.536 0.750
0.691 0.383 0.589
0.691 0.383 0.911
0.045 0.089 0.121
0.045 0.089 0.379
```

Output
- ΔE to the lowest computed polymorph: 0.004 eV per atom
- ΔE_f (raw): -1.691 eV per atom
- Electronic total energy: -58.56 eV for the cell shown
- Total magnetization: 0.0000 μB per atom



[12]
First-principles (PBE) data for an optimized crystal structure of NaPm3Br8, as listed in Alexandria.

The structure in POSCAR format:
```
NaPm3Br8
1.0
-7.088 -1.601 3.624
-0.586 -6.200 5.210
-0.741 1.877 8.478
Na Pm Br
1 3 8
Direct
0.500 0.500 0.500
0.000 0.500 0.000
0.500 0.000 0.000
0.500 0.500 0.000
0.751 0.751 0.747
0.249 0.249 0.253
0.754 0.754 0.239
0.754 0.253 0.239
0.253 0.754 0.239
0.747 0.246 0.761
0.246 0.747 0.761
0.246 0.246 0.761
```

Output
- ΔE_f (raw): -1.696 eV per atom
- Electronic total energy: -49.31 eV for the cell shown
- Total magnetization: 0.1150 μB per atom



[13]
First-principles (PBE) data for an optimized crystal structure of Na4Pm2Br9, as listed in Alexandria.

The structure in POSCAR format:
```
Na4Pm2Br9
1.0
-7.046 -2.723 -0.298
-2.056 -5.661 4.573
-5.701 13.273 13.835
Na Pm Br
8 4 18
Direct
0.333 0.334 0.983
0.334 0.334 0.484
0.667 0.666 0.017
0.332 0.334 0.175
0.666 0.666 0.516
0.665 0.667 0.326
0.335 0.333 0.674
0.668 0.666 0.825
0.999 0.002 0.341
0.000 0.999 0.159
0.001 0.998 0.659
0.000 0.001 0.841
0.002 0.314 0.750
0.314 0.685 0.750
0.686 0.000 0.750
0.998 0.686 0.250
0.686 0.315 0.250
0.314 0.000 0.250
0.679 0.977 0.414
0.975 0.345 0.415
0.343 0.681 0.414
0.655 0.025 0.086
0.320 0.654 0.086
0.025 0.318 0.086
0.321 0.023 0.586
0.025 0.655 0.585
0.657 0.319 0.586
0.345 0.975 0.914
0.680 0.346 0.914
0.975 0.682 0.914
```

Output
- ΔE_f (raw): -1.674 eV per atom
- Electronic total energy: -109.89 eV for the cell shown
- Total magnetization: 0.0667 μB per atom



[14]
First-principles (PBE) data for an optimized crystal structure of Na2PmBr4, as listed in Alexandria.

The structure in POSCAR format:
```
Na2PmBr4
1.0
-2.910 1.845 -4.727
-4.961 -2.183 2.202
-5.317 6.426 2.162
Na Br Pm
2 4 1
Direct
0.625 0.625 0.750
0.375 0.375 0.250
0.812 0.812 0.376
0.188 0.188 0.624
0.000 0.500 0.000
0.500 0.000 0.000
0.000 0.000 0.000
```

Output
- ΔE_f (raw): -1.391 eV per atom
- Electronic total energy: -23.82 eV for the cell shown
- Total magnetization: 0.0137 μB per atom



[15]
First-principles (PBE) data for an optimized crystal structure of Na2PmBr4, as listed in Alexandria.

The structure in POSCAR format:
```
Na2PmBr4
1.0
7.520 0.000 0.000
0.000 7.520 0.000
-3.760 -3.760 4.451
Na Pm Br
2 1 4
Direct
0.750 0.250 0.500
0.250 0.750 0.500
0.500 0.500 0.000
0.851 0.340 0.191
0.340 0.851 0.191
0.660 0.660 0.809
0.149 0.149 0.809
```

Output
- ΔE_f (raw): -1.391 eV per atom
- Electronic total energy: -23.81 eV for the cell shown
- Total magnetization: 0.1323 μB per atom



[16]
First-principles (PBE) data for an optimized crystal structure of NaPm2Br8, as listed in Alexandria.

The structure in POSCAR format:
```
NaPm2Br8
1.0
4.157 0.000 0.000
0.000 8.877 2.160
-2.079 -1.279 10.321
Na Pm Br
1 2 8
Direct
0.500 0.000 0.000
0.839 0.318 0.678
0.161 0.682 0.322
0.397 0.487 0.794
0.648 0.920 0.296
0.771 0.650 0.541
0.981 0.221 0.963
0.229 0.350 0.459
0.352 0.080 0.704
0.603 0.513 0.206
0.019 0.779 0.037
```

Output
- ΔE_f (raw): -1.567 eV per atom
- Electronic total energy: -41.44 eV for the cell shown
- Total magnetization: 0.0288 μB per atom